(1)
The following is a DFT calculation (GGA-PBEsol) of Ca4BeSi after structural relaxation.

```
6
Lattice="6.274 0.000 0.000 3.137 5.433 0.000 3.137 1.811 5.122" Properties=species:S:1:pos:R:3 pbc="T T T"
Be 0.000 0.000 0.000
Ca 4.713 2.721 1.924
Ca 6.274 3.622 4.473
Ca 7.834 2.721 1.924
Ca 6.274 5.424 1.924
Si 9.410 5.433 3.842
```



(2)
The following is a DFT calculation (GGA-PBEsol) of CaYBe2Si after structural relaxation.

```
5
Lattice="4.422 0.000 0.000 0.000 4.422 0.000 0.000 0.000 5.123" Properties=species:S:1:pos:R:3 pbc="T T T"
Y 2.211 2.211 2.562
Be 0.000 2.211 0.000
Be 2.211 0.000 0.000
Ca 0.000 0.000 2.562
Si 0.000 0.000 0.000
```



Number 1: E_form (uncorrected) 0.834 eV/atom. Number 2: E_form (uncorrected) 0.541 eV/atom.